Below is an optimized crystal structure of TbTh2As3, with properties calculated at the PBE level.

The structure in extended XYZ format:
```
6
Lattice="-3.138 -1.887 2.086 -0.990 -3.546 -4.696 6.158 -1.515 3.637" Properties=species:S:1:pos:R:3 pbc="T T T"
Tb 1.015 -3.474 0.513
As -1.891 -3.035 0.795
As 1.510 -1.701 2.861
As 3.921 -3.913 0.232
Th 4.444 -2.168 2.596
Th -2.414 -4.779 -1.569
```

Properties
ΔE to the lowest computed polymorph: 0.000 eV/atom
DFT formation energy: -1.448 eV per atom
magnetic moment: 0.000 μB per atom
raw total energy: -0.51577 Ry per atom